No. 1
ScI3Cl PBE relaxed; M_tot = 1.22 μB per cell; ΔE_f (raw) = 0.361 eV/atom; excess energy over the best structure of this formula in the dataset = 5.00 eV/f.u.; Fermi-level density of states = 13.64 states/eV/cell
1.0
-2.6817 -0.6540 -5.0289
-5.0089 -0.5480 2.7422
-0.7931 5.6728 -0.3149
I Cl Sc
3 1 1
Direct
0.5000 0.0000 0.0000
0.0000 0.5000 0.0000
0.0000 0.0000 0.5000
0.0000 0.0000 0.0000
0.5000 0.5000 0.5000

No. 2
Ba8BiRh2 PBE relaxed; M_tot = 0.00 μB per cell; energy of formation = -253 meV per atom; Fermi-level density of states = 9.71 states/eV/cell
1.0
-0.7837 1.3088 8.2083
3.5232 -6.7926 3.8424
6.6430 4.7520 -2.5614
Ba Rh Bi
8 2 1
Direct
0.2247 0.7269 0.2932
0.2517 0.2377 0.3453
0.2793 0.1585 0.8274
0.7207 0.8415 0.1726
0.7753 0.2731 0.7068
0.7483 0.7623 0.6547
0.7468 0.3554 0.2260
0.2532 0.6446 0.7740
0.0242 0.3899 0.5986
0.9758 0.6101 0.4013
0.0000 0.0000 0.0000